First-principles (GGA+U) data for a geometry-optimized MnSOF2 structure, as listed in Alexandria.

Calculated values
- Spin magnetization: 0.947 μB/f.u.
- Space group: P4/mmm (123)
- Volume: 12.3 Å³/atom
- Energy relative to the lowest polymorph listed for this composition: 54 meV/atom
- Fermi-level density of states: 0.86 states/eV/cell

Cell: 4.005 4.005 3.827 Å, 90.00 90.00 90.00°
Positions (direct):
1 Mn 0.000 0.000 0.000
2 S 0.500 0.500 0.500
3 O 0.000 0.000 0.500
4 F 0.000 0.500 0.000
5 F 0.500 0.000 0.000